Entry from the Alexandria database: a relaxed structure of Hf2MnFe3 (GGA-PBE).

Cell lengths 4.924, 4.924, 4.962 Å; angles 90.01, 119.76, 119.98 degrees
Fractional positions:
Hf: 0.751 0.375 0.126
Hf: 0.249 0.625 0.874
Fe: 0.000 0.000 0.500
Fe: 0.500 0.500 0.500
Fe: 0.500 0.000 0.500
Mn: 0.000 0.000 0.000

## Properties
* formation energy: -0.31 eV per atom
* Fermi-level density of states: 5.45 states/eV per cell